1.
First-principles (PBE) data for DyAl2 after structural relaxation, as listed in the Alexandria database.

a b c (Å): 3.354 3.354 6.095
angles (deg): 105.90 105.90 90.04
Sites, in units of the cell vectors:
Al 0.813 0.813 0.626
Al 0.187 0.187 0.374
Dy 0.500 0.500 0.000

Energy relative to the elements = -0.25 eV per atom
DFT total energy = -4.28 eV/atom
Space group = I4/mmm

=====

2.
First-principles (PBE) data for NaInSiO4 after structural relaxation, as listed in the Alexandria database.

a b c (Å): 5.668 5.668 6.330
angles (deg): 90.00 90.00 114.00
Sites, in units of the cell vectors:
In 0.153 0.847 0.750
O 0.246 0.754 0.043
O 0.821 0.761 0.250
O 0.246 0.754 0.457
Na 0.500 0.500 0.500
O 0.754 0.246 0.543
O 0.761 0.821 0.750
In 0.847 0.153 0.250
O 0.179 0.239 0.750
Si 0.860 0.140 0.750
Si 0.140 0.860 0.250
Na 0.500 0.500 0.000
O 0.754 0.246 0.957
O 0.239 0.179 0.250

ΔE_f (raw) = -14.500 eV/f.u.
DFT total energy = -6.26 eV/atom
Space group = Cmcm

=====

3.
First-principles (PBE) data for P2IrAu after structural relaxation, as listed in the Alexandria database.

a b c (Å): 2.863 3.640 7.031
angles (deg): 90.00 90.00 90.00
Sites, in units of the cell vectors:
Au 0.500 0.000 0.500
Ir 0.000 0.500 0.000
P 0.000 0.000 0.792
P 0.000 0.000 0.208

Energy relative to the elements = -0.06 eV per atom
DFT total energy = -5.80 eV/atom
Offset from the most stable computed form = 0.1628 eV/atom
Space group = Pmmm

=====

4.
First-principles (PBE) data for RbScPa2O8 after structural relaxation, as listed in the Alexandria database.

a b c (Å): 4.874 4.879 8.206
angles (deg): 90.00 90.00 89.21
Sites, in units of the cell vectors:
Sc 0.000 0.000 0.000
O 0.394 0.393 0.500
O 0.207 0.792 0.800
O 0.305 0.304 0.000
O 0.207 0.792 0.200
O 0.695 0.696 0.000
Rb 0.000 0.000 0.500
Pa 0.500 0.500 0.786
O 0.793 0.208 0.800
Pa 0.500 0.500 0.214
O 0.606 0.607 0.500
O 0.793 0.208 0.200

ΔE_f (raw) = -35.009 eV/f.u.
DFT total energy = -8.41 eV/atom
Space group = Cmmm

=====

Sequential size of the total moment output: 0.0000; 0.0000; 0.0000; 0.0000 μB/atom